# La3PmOs PBE relaxed
# - DFT formation energy: -46 meV/atom
# - Theoretical density: 7.05 g/cm3
# - N(E_F): 1.48 states/eV/atom
# - Excess energy over the best structure of this formula in the dataset: 45 meV/atom
data_La3PmOs
_chemical_formula_sum 'La6 Pm2 Os2'
_cell_length_a 7.9611
_cell_length_b 6.7636
_cell_length_c 6.5776
_cell_angle_alpha 90.00
_cell_angle_beta 90.00
_cell_angle_gamma 90.00
_symmetry_space_group_name_H-M 'P m n 21'
_symmetry_Int_Tables_number 31
loop_
_symmetry_equiv_pos_as_xyz
'x,y,z'
'-x+1/2,-y,z+1/2'
'-x,y,z'
'x+1/2,-y,z+1/2'
loop_
_atom_site_label
_atom_site_fract_x
_atom_site_fract_y
_atom_site_fract_z
_atom_site_occupancy
La1 0.0000 0.1583 0.0000 1
La2 0.2490 0.6772 0.9951 1
Pm1 0.0000 0.8334 0.4949 1
Os1 0.0000 0.4938 0.2424 1